--- w ---
This record from the Alexandria database describes In2CuSn after structural relaxation. The functional is GGA-PBE.

Values from the calculation:
Space-group type: No. 123

Cell: 3.3183 3.3183 8.1748 Å, 90.00 90.00 90.00°
Closest atoms and distances in Å follow each position.
Fractional positions:
Sn (0.5000, 0.5000, 0.5000)  4 Sn 3.32, 8 In 3.38
Cu (0.5000, 0.5000, 0.0000)  8 In 2.87
In (0.0000, 0.0000, 0.7977)  4 Cu 2.87
In (0.0000, 0.0000, 0.2023)  4 Cu 2.87

--- x ---
This record from the Alexandria database describes In2CuSn after structural relaxation. The functional is GGA-PBE.

Values from the calculation:
Space-group type: No. 122

Cell: 4.7705 4.7705 9.5072 Å, 75.47 75.47 90.00°
Closest atoms and distances in Å follow each position.
Fractional positions:
Sn (0.0000, 0.0000, 0.0000)  4 In 2.92
Sn (0.7500, 0.2500, 0.5000)  4 In 2.92
Cu (0.5000, 0.5000, 0.0000)  4 In 2.68
Cu (0.2500, 0.7500, 0.5000)  4 In 2.68
In (0.5644, 0.1250, 0.2500)  2 Cu 2.68, 2 Sn 2.92, 2 In 2.99
In (0.1856, 0.6250, 0.2500)  2 Cu 2.68, 2 Sn 2.92, 2 In 2.99
In (0.3750, 0.4356, 0.7500)  2 Cu 2.68, 2 Sn 2.92, 2 In 2.99
In (0.8750, 0.8144, 0.7500)  2 Cu 2.68, 2 Sn 2.92, 2 In 2.99

Most stable structure - w; separation to the second - 0.090 eV/atom.

--- w ---
This record from the Alexandria database describes In3CuSn after structural relaxation. The functional is GGA-PBE.

Values from the calculation:
Space-group type: No. 12

Cell: 3.8170 7.0878 9.4119 Å, 99.51 101.70 90.00°
Closest atoms and distances in Å follow each position.
Fractional positions:
In (0.0989, 0.5998, 0.1979)  1 Cu 2.74
In (0.9011, 0.4002, 0.8021)  1 Cu 2.74
In (0.3282, 0.0408, 0.6564)  2 Cu 2.76
In (0.6718, 0.9592, 0.3436)  2 Cu 2.76
In (0.2134, 0.3234, 0.4268)  6 In 3.11-3.25, 1 Cu 3.45
In (0.7866, 0.6766, 0.5732)  6 In 3.11-3.25, 1 Cu 3.45
Cu (0.9366, 0.0406, 0.8733)  1 Cu 2.50, 3 In 2.74-2.76
Cu (0.0634, 0.9594, 0.1267)  1 Cu 2.50, 3 In 2.74-2.76
Sn (0.5373, 0.2340, 0.0746)  4 Cu 2.82-2.85
Sn (0.4627, 0.7660, 0.9254)  4 Cu 2.82-2.85

--- x ---
This record from the Alexandria database describes In3CuSn after structural relaxation. The functional is GGA-PBE.

Values from the calculation:
Space-group type: No. 12

Cell: 6.9250 6.9250 6.9517 Å, 104.56 121.96 102.49°
Closest atoms and distances in Å follow each position.
Fractional positions:
In (0.8279, 0.0643, 0.2885)  2 Cu 2.69-2.94
In (0.2242, 0.4606, 0.2885)  2 Cu 2.69-2.94
In (0.7758, 0.5394, 0.7115)  2 Cu 2.69-2.94
In (0.7229, 0.4511, 0.1740)  2 Cu 2.67-2.90
In (0.1721, 0.9357, 0.7115)  2 Cu 2.69-2.94
In (0.2771, 0.5489, 0.8260)  2 Cu 2.67-2.90
Cu (0.6193, 0.7552, 0.3745)  6 In 2.67-2.94, 2 Sn 2.68-2.82
Cu (0.3807, 0.2448, 0.6255)  6 In 2.67-2.94, 2 Sn 2.68-2.82
Sn (0.7297, 0.0585, 0.7882)  2 Cu 2.68-2.82
Sn (0.2703, 0.9415, 0.2118)  2 Cu 2.68-2.82

Most stable structure - w; separation to the second - 0.014 eV/atom.

--- w ---
This record from the Alexandria database describes InCuSn3 after structural relaxation. The functional is GGA-PBE.

Values from the calculation:
Space-group type: No. 221

Cell: 5.1568 5.1568 5.1568 Å, 90.00 90.00 90.00°
Closest atoms and distances in Å follow each position.
Fractional positions:
Sn (0.0000, 0.5000, 0.0000)  2 Cu 2.58
Sn (0.0000, 0.0000, 0.5000)  2 Cu 2.58
Sn (0.5000, 0.0000, 0.0000)  2 Cu 2.58
Cu (0.0000, 0.0000, 0.0000)  6 Sn 2.58
In (0.5000, 0.5000, 0.5000)  12 Sn 3.65

--- x ---
This record from the Alexandria database describes InCuSn3 after structural relaxation. The functional is GGA-PBE.

Values from the calculation:
Space-group type: No. 12

Cell: 6.9439 6.9439 7.0549 Å, 102.20 124.14 102.43°
Closest atoms and distances in Å follow each position.
Fractional positions:
In (0.7247, 0.0461, 0.7708)  2 Cu 2.70-2.92
In (0.2753, 0.9539, 0.2292)  2 Cu 2.70-2.92
Cu (0.6317, 0.7483, 0.3800)  5 Sn 2.68-2.91, 2 In 2.70-2.92
Cu (0.3683, 0.2517, 0.6200)  5 Sn 2.68-2.91, 2 In 2.70-2.92
Sn (0.8140, 0.0269, 0.2500)  2 Cu 2.68-2.91
Sn (0.2231, 0.4360, 0.2500)  2 Cu 2.68-2.91
Sn (0.7769, 0.5640, 0.7500)  2 Cu 2.68-2.91
Sn (0.7405, 0.4514, 0.1919)  1 Cu 2.69
Sn (0.1860, 0.9731, 0.7500)  2 Cu 2.68-2.91
Sn (0.2595, 0.5486, 0.8081)  1 Cu 2.69

Most stable structure - x; separation to the second - 0.145 eV/atom.

--- w ---
This record from the Alexandria database describes TaIn3Cu after structural relaxation. The functional is GGA-PBE.

Values from the calculation:
Space-group type: No. 221

Cell: 5.4227 5.4227 5.4227 Å, 90.00 90.00 90.00°
Closest atoms and distances in Å follow each position.
Fractional positions:
In (0.0000, 0.5000, 0.0000)  2 Ta 2.71
In (0.0000, 0.0000, 0.5000)  2 Ta 2.71
In (0.5000, 0.0000, 0.0000)  2 Ta 2.71
Cu (0.5000, 0.5000, 0.5000)  12 In 3.83
Ta (0.0000, 0.0000, 0.0000)  6 In 2.71

--- x ---
This record from the Alexandria database describes TaIn3Cu after structural relaxation. The functional is GGA-PBE.

Values from the calculation:
Space-group type: No. 221

Cell: 4.9008 4.9008 4.9008 Å, 90.00 90.00 90.00°
Closest atoms and distances in Å follow each position.
Fractional positions:
In (0.0000, 0.5000, 0.0000)  2 Cu 2.45
In (0.0000, 0.0000, 0.5000)  2 Cu 2.45
In (0.5000, 0.0000, 0.0000)  2 Cu 2.45
Cu (0.0000, 0.0000, 0.0000)  6 In 2.45
Ta (0.5000, 0.5000, 0.5000)  12 In 3.47

Most stable structure - x; separation to the second - 0.144 eV/atom.

--- w ---
This record from the Alexandria database describes Ta2In2Cu after structural relaxation. The functional is GGA-PBE.

Values from the calculation:
Space-group type: No. 127

Cell: 6.6591 6.6591 4.5587 Å, 90.00 90.00 90.00°
Closest atoms and distances in Å follow each position.
Fractional positions:
In (0.1633, 0.6633, 0.5000)  6 Ta 2.91-3.07, 1 In 3.08
In (0.6633, 0.8367, 0.5000)  6 Ta 2.91-3.07, 1 In 3.08
In (0.8367, 0.3367, 0.5000)  6 Ta 2.91-3.07, 1 In 3.08
In (0.3367, 0.1633, 0.5000)  6 Ta 2.91-3.07, 1 In 3.08
Cu (0.0000, 0.0000, 0.0000)  4 Ta 2.55
Cu (0.5000, 0.5000, 0.0000)  4 Ta 2.55
Ta (0.3550, 0.8550, 0.0000)  2 Cu 2.55, 1 Ta 2.73
Ta (0.8550, 0.6450, 0.0000)  2 Cu 2.55, 1 Ta 2.73
Ta (0.6450, 0.1450, 0.0000)  2 Cu 2.55, 1 Ta 2.73
Ta (0.1450, 0.3550, 0.0000)  2 Cu 2.55, 1 Ta 2.73

--- x ---
This record from the Alexandria database describes Ta2In2Cu after structural relaxation. The functional is GGA-PBE.

Values from the calculation:
Space-group type: No. 139

Cell: 3.9123 3.9123 7.4317 Å, 74.74 74.74 90.00°
Closest atoms and distances in Å follow each position.
Fractional positions:
In (0.7500, 0.2500, 0.5000)  4 In 2.77, 4 Ta 2.97
In (0.2500, 0.7500, 0.5000)  4 In 2.77, 4 Ta 2.97
Cu (0.0000, 0.0000, 0.0000)  8 Ta 3.02
Ta (0.4124, 0.4124, 0.1752)  1 Ta 2.42
Ta (0.5876, 0.5876, 0.8248)  1 Ta 2.42

Most stable structure - w; separation to the second - 0.406 eV/atom.

--- w ---
This record from the Alexandria database describes YTaInCu2 after structural relaxation. The functional is GGA-PBE.

Values from the calculation:
Space-group type: No. 123

Cell: 4.8397 5.2605 4.8397 Å, 90.00 90.00 90.00°
Closest atoms and distances in Å follow each position.
Fractional positions:
Y (0.0000, 0.5000, 0.0000)  2 Ta 2.63
In (0.5000, 0.5000, 0.5000)  4 Y 3.42, 8 Cu 3.57
Cu (0.0000, 0.0000, 0.5000)  2 Ta 2.42
Cu (0.5000, 0.0000, 0.0000)  2 Ta 2.42
Ta (0.0000, 0.0000, 0.0000)  4 Cu 2.42, 2 Y 2.63

--- x ---
This record from the Alexandria database describes YTaInCu2 after structural relaxation. The functional is GGA-PBE.

Values from the calculation:
Space-group type: No. 123

Cell: 4.9229 5.2257 4.9229 Å, 90.00 90.00 90.00°
Closest atoms and distances in Å follow each position.
Fractional positions:
Y (0.0000, 0.0000, 0.0000)  4 Cu 2.46, 2 Ta 2.61
In (0.5000, 0.5000, 0.5000)  4 Ta 3.48, 8 Cu 3.59
Cu (0.0000, 0.0000, 0.5000)  2 Y 2.46
Cu (0.5000, 0.0000, 0.0000)  2 Y 2.46
Ta (0.0000, 0.5000, 0.0000)  2 Y 2.61

Most stable structure - w; separation to the second - 0.536 eV/atom.

--- w ---
This record from the Alexandria database describes Tb8InCu2 after structural relaxation. The functional is GGA-PBE.

Values from the calculation:
Space-group type: No. 12

Cell: 5.0016 7.7103 8.8704 Å, 113.12 106.38 90.00°
Closest atoms and distances in Å follow each position.
Fractional positions:
Tb (0.5974, 0.4731, 0.1949)  2 Cu 2.98, 1 In 3.33
Tb (0.3154, 0.0195, 0.6308)  1 Cu 2.76
Tb (0.1830, 0.2820, 0.3661)  1 Cu 2.80
Tb (0.0481, 0.7567, 0.0961)  1 Cu 2.85
Tb (0.8170, 0.7180, 0.6339)  1 Cu 2.80
Tb (0.6846, 0.9805, 0.3692)  1 Cu 2.76
Tb (0.4026, 0.5269, 0.8051)  2 Cu 2.98, 1 In 3.33
Tb (0.9519, 0.2433, 0.9039)  1 Cu 2.85
In (0.5000, 0.0000, 0.0000)  8 Tb 3.21-3.42
Cu (0.1903, 0.6520, 0.3806)  5 Tb 2.76-2.98
Cu (0.8097, 0.3480, 0.6194)  5 Tb 2.76-2.98

--- x ---
This record from the Alexandria database describes Tb8InCu2 after structural relaxation. The functional is GGA-PBE.

Values from the calculation:
Space-group type: No. 12

Cell: 5.3844 8.0996 8.0996 Å, 114.88 98.80 98.80°
Closest atoms and distances in Å follow each position.
Fractional positions:
Tb (0.9164, 0.9194, 0.6712)  2 Cu 2.89-3.03
Tb (0.9164, 0.6712, 0.9194)  2 Cu 2.89-3.03
Tb (0.3053, 0.6052, 0.6052)  2 Cu 3.10, 4 Tb 3.15-3.46, 1 In 3.30
Tb (0.5000, 0.7585, 0.2415)  2 Cu 2.84
Tb (0.5000, 0.2415, 0.7585)  2 Cu 2.84
Tb (0.6947, 0.3948, 0.3948)  2 Cu 3.10, 4 Tb 3.15-3.46, 1 In 3.30
Tb (0.0836, 0.3288, 0.0806)  2 Cu 2.89-3.03
Tb (0.0836, 0.0806, 0.3288)  2 Cu 2.89-3.03
In (0.5000, 0.0000, 0.0000)  12 Tb 3.30-3.65
Cu (0.0000, 0.3073, 0.6927)  8 Tb 2.84-3.10
Cu (0.0000, 0.6927, 0.3073)  8 Tb 2.84-3.10

Most stable structure - w; separation to the second - 0.081 eV/atom.

--- w ---
This record from the Alexandria database describes InCuTe after structural relaxation. The functional is GGA-PBE.

Values from the calculation:
Space-group type: No. 107

Cell: 6.7141 6.7141 6.7141 Å, 151.36 151.36 40.94°
Closest atoms and distances in Å follow each position.
Fractional positions:
Cu (0.0020, 0.0020, 0.0000)  4 Te 2.88, 4 In 2.93
In (0.3629, 0.3629, 0.0000)  4 Cu 2.93
Te (0.6351, 0.6351, 0.0000)  4 Cu 2.88

--- x ---
This record from the Alexandria database describes InCuTe after structural relaxation. The functional is GGA-PBE.

Values from the calculation:
Space-group type: No. 216

Cell: 4.7250 4.7250 4.7250 Å, 60.00 60.00 60.00°
Closest atoms and distances in Å follow each position.
Fractional positions:
Cu (0.7500, 0.7500, 0.7500)  4 In 2.89, 4 Te 2.89
In (0.0000, 0.0000, 0.0000)  4 Cu 2.89
Te (0.5000, 0.5000, 0.5000)  4 Cu 2.89

--- y ---
This record from the Alexandria database describes InCuTe after structural relaxation. The functional is GGA-PBE.

Values from the calculation:
Space-group type: No. 156

Cell: 4.3101 4.3101 4.8769 Å, 90.00 90.00 120.00°
Closest atoms and distances in Å follow each position.
Fractional positions:
Cu (0.0000, 0.0000, 0.9300)  3 Te 2.58
In (0.6667, 0.3333, 0.2820)  3 Cu 3.02
Te (0.3333, 0.6667, 0.7880)  3 Cu 2.58

--- z ---
This record from the Alexandria database describes InCuTe after structural relaxation. The functional is GGA-PBE.

Values from the calculation:
Space-group type: No. 42

Cell: 6.8387 6.6355 3.4062 Å, 78.69 72.07 29.24°
Closest atoms and distances in Å follow each position.
Fractional positions:
Cu (0.0047, 0.0047, 0.9953)  2 Te 2.66, 2 In 2.77
In (0.3615, 0.3615, 0.6385)  2 Cu 2.77
Te (0.6338, 0.6338, 0.3662)  2 Cu 2.66

Most stable structure - y; separation to the second - 0.053 eV/atom.